TiFeNO2 | GGA+U | relaxed

a = 3.694 Å, b = 3.694 Å, c = 3.867 Å
α = 90.00°, β = 90.00°, γ = 90.00°
Element x y z (fractional)
Ti 0.000 0.000 0.000
Fe 0.500 0.500 0.500
N 0.500 0.500 0.000
O 0.000 0.500 0.500
O 0.500 0.000 0.500

Values from the calculation:
E_tot, eV/atom: -6.859
Space group: No. 123
M_tot, μB/atom: 0.6606